1.
## Ac2As4RuRh3 (PBE)

Data for crystalline Ac2As4RuRh3 at its relaxed geometry.

Geometry as extended XYZ:
```
10
Lattice="4.386 0.000 0.000 0.000 4.386 0.000 0.000 0.000 10.195" Properties=species:S:1:pos:R:3 pbc="T T T"
Ac 0.000 2.193 2.497
Ac 2.193 0.000 7.698
As 0.000 0.000 0.000
As 0.000 2.193 6.427
As 2.193 0.000 3.768
As 2.193 2.193 0.000
Ru 0.000 0.000 5.097
Rh 0.000 2.193 8.970
Rh 2.193 0.000 1.225
Rh 2.193 2.193 5.097
```

Computed properties:
The value obtained for the total energy is -67.0 eV per cell. The calculation puts the theoretical density at 9.85 g cm⁻³. The value obtained for the formation energy is -0.884 eV/atom.

---

2.
## RbGe3Ru (PBE)

Data for crystalline RbGe3Ru at its relaxed geometry.

Geometry as extended XYZ:
```
5
Lattice="5.350 0.000 0.000 0.000 5.350 0.000 0.000 0.000 5.350" Properties=species:S:1:pos:R:3 pbc="T T T"
Rb 0.000 0.000 0.000
Ge 0.000 0.000 2.675
Ge 0.000 2.675 0.000
Ge 2.675 0.000 0.000
Ru 2.675 2.675 2.675
```

Computed properties:
The value obtained for the energy relative to the lowest polymorph listed for this composition is 2198 meV/atom. The value obtained for the total energy is -11.9 eV per cell. The calculation puts the theoretical density at 4.39 g cm⁻³. The value obtained for the formation energy is 2.430 eV/atom.

---

3.
## CsScFe2Cl8 (PBE)

Data for crystalline CsScFe2Cl8 at its relaxed geometry.

Geometry as extended XYZ:
```
12
Lattice="5.311 -3.583 0.000 5.311 3.583 0.000 -1.200 0.000 9.973" Properties=species:S:1:pos:R:3 pbc="T T T"
Cs 0.000 0.000 0.000
Sc -0.600 0.000 4.986
Fe 3.207 0.000 6.944
Fe 6.215 0.000 3.029
Cl 4.762 1.832 3.168
Cl 1.897 0.000 5.049
Cl 4.661 1.832 6.805
Cl 2.309 0.000 8.974
Cl 7.114 0.000 0.999
Cl 4.762 -1.832 3.168
Cl 7.525 0.000 4.924
Cl 4.661 -1.832 6.805
```

Computed properties:
The value obtained for the total energy is -55.3 eV per cell. The uncorrected formation energy comes out at -1369.7 meV per atom. The calculation puts the theoretical density at 2.51 g cm⁻³.

---

4.
## P2WICl (PBE)

Data for crystalline P2WICl at its relaxed geometry.

Geometry as extended XYZ:
```
5
Lattice="5.178 0.000 0.000 0.000 5.178 0.000 0.000 0.000 5.031" Properties=species:S:1:pos:R:3 pbc="T T T"
P 0.000 2.589 0.000
P 2.589 0.000 0.000
W 0.000 0.000 2.516
I 2.589 2.589 0.000
Cl 2.589 2.589 2.516
```

Computed properties:
The value obtained for the energy relative to the lowest polymorph listed for this composition is 1763 meV/atom. The value obtained for the total energy is -16.8 eV per cell. The uncorrected formation energy comes out at 2080.5 meV per atom. The calculation puts the theoretical density at 5.02 g cm⁻³.

---

5.
## NdY6Tm5 (PBE)

Data for crystalline NdY6Tm5 at its relaxed geometry.

Geometry as extended XYZ:
```
12
Lattice="2.505 -7.531 0.000 2.505 7.531 0.000 0.000 0.000 10.030" Properties=species:S:1:pos:R:3 pbc="T T T"
Nd 0.000 0.000 0.000
Y 2.505 5.016 2.527
Y 2.505 5.016 7.503
Y 2.505 0.000 2.531
Y 2.505 0.000 7.499
Y 2.505 -5.016 2.527
Y 2.505 -5.016 7.503
Tm 0.000 0.000 5.015
Tm 2.505 2.532 0.000
Tm 2.505 2.510 5.015
Tm 2.505 -2.510 5.015
Tm 2.505 -2.532 0.000
```

Computed properties:
The value obtained for the total energy is -65.6 eV per cell. The calculation puts the theoretical density at 6.68 g cm⁻³. The value obtained for the formation energy is 0.028 eV/atom.

---

6.
## ZrZn2 (PBE)

Data for crystalline ZrZn2 at its relaxed geometry.

Geometry as extended XYZ:
```
12
Lattice="5.722 0.000 0.000 0.000 4.331 0.000 0.000 0.000 8.396" Properties=species:S:1:pos:R:3 pbc="T T T"
Zr 1.015 1.083 0.639
Zr 1.846 3.249 4.837
Zr 3.876 1.083 3.560
Zr 4.707 3.249 7.758
Zn 0.228 1.083 6.125
Zn 0.974 1.083 3.389
Zn 1.886 3.249 7.588
Zn 2.633 3.249 1.927
Zn 3.089 1.083 6.469
Zn 3.835 1.083 0.809
Zn 4.747 3.249 5.007
Zn 5.493 3.249 2.271
```

Computed properties:
The value obtained for the total energy is -47.1 eV per cell. The calculation puts the theoretical density at 7.09 g cm⁻³. The value obtained for the formation energy is -0.227 eV/atom.

---

7.
## PtW2I (PBE)

Data for crystalline PtW2I at its relaxed geometry.

Geometry as extended XYZ:
```
4
Lattice="0.000 3.257 3.257 3.257 0.000 3.257 3.257 3.257 0.000" Properties=species:S:1:pos:R:3 pbc="T T T"
Pt 0.000 0.000 0.000
W 1.629 1.629 1.629
W 4.886 4.886 4.886
I 3.257 3.257 3.257
```

Computed properties:
The value obtained for the energy relative to the lowest polymorph listed for this composition is 0 meV/atom. The value obtained for the total energy is -29.9 eV per cell. The uncorrected formation energy comes out at 900.1 meV per atom. The calculation puts the theoretical density at 16.57 g cm⁻³.

---

8.
## Tc2HRuW (PBE)

Data for crystalline Tc2HRuW at its relaxed geometry.

Geometry as extended XYZ:
```
5
Lattice="3.945 0.000 0.000 0.000 3.945 0.000 0.000 0.000 3.925" Properties=species:S:1:pos:R:3 pbc="T T T"
Tc 0.000 1.973 0.000
Tc 1.973 0.000 0.000
H 0.000 0.000 0.000
Ru 0.000 0.000 1.963
W 1.973 1.973 1.963
```

Computed properties:
The value obtained for the energy relative to the lowest polymorph listed for this composition is 0 meV/atom. The value obtained for the total energy is -46.2 eV per cell. The calculation puts the theoretical density at 13.10 g cm⁻³.